No. 1
BeSi2Hg (PBE, relaxed); E above lowest polymorph = 6.7 kJ per mole of atoms; electronic total energy = -3.21 eV per atom
1.0
-4.5606 1.8909 3.3435
-2.6849 1.3219 5.1573
0.2201 4.4110 1.1560
Be Si Hg
1 2 1
direct
0.7500 0.7500 0.7500
0.0438 0.0438 0.9676
0.4562 0.4562 0.5324
0.2500 0.2500 0.2500

No. 2
CsK2ScGa (PBE, relaxed); ΔH_f (0 K) = 1144 meV per atom; electronic total energy = -1.34 eV per atom
1.0
6.7972 0.0000 0.0000
0.0000 6.1880 0.0000
0.0000 0.0000 6.7972
Cs Sc K Ga
1 1 2 1
direct
0.0000 0.0000 0.0000
0.0000 0.5000 0.0000
0.0000 0.0000 0.5000
0.5000 0.0000 0.0000
0.5000 0.5000 0.5000